<1>
Density functional theory data (PBE) for a relaxed structure of BaIrF2.

abc: 5.372 5.372 5.372
angles: 52.74 52.74 52.74
Last column: magnetic moment on the atom in μB.
Fractional coordinates of all 4 atoms:
Ba 0.500 0.500 0.500  -0.01
F 0.855 0.855 0.855  0.03
F 0.145 0.145 0.145  0.03
Ir 0.000 0.000 0.000  0.92

Values from the calculation:
- crystal system = trigonal
- total moment (μB/f.u.) = 1.00
- DOS(E_F) (states/eV/atom) = 1.5654

<2>
Density functional theory data (PBE) for a relaxed structure of BaIrF2.

abc: 5.100 5.100 5.100
angles: 50.07 50.07 50.07
Last column: magnetic moment on the atom in μB.
Fractional coordinates of all 4 atoms:
F 0.218 0.218 0.218  0.07
F 0.782 0.782 0.782  0.07
Ba 0.000 0.000 0.000  -0.02
Ir 0.500 0.500 0.500  1.23

Values from the calculation:
- crystal system = trigonal
- total moment (μB/f.u.) = 1.38
- DOS(E_F) (states/eV/atom) = 0.4302

Stability, lowest: <2>

<1>
Density functional theory data (PBE) for a relaxed structure of Ba2Ir2F.

abc: 8.578 8.578 4.065
angles: 90.00 90.00 90.00
Last column: magnetic moment on the atom in μB.
Fractional coordinates of all 10 atoms:
F 0.000 0.000 0.000  0.05
F 0.500 0.500 0.000  0.05
Ba 0.189 0.689 0.500  0.04
Ba 0.811 0.311 0.500  0.04
Ba 0.311 0.189 0.500  0.04
Ba 0.689 0.811 0.500  0.04
Ir 0.903 0.597 0.000  1.20
Ir 0.097 0.403 0.000  1.20
Ir 0.597 0.097 0.000  1.21
Ir 0.403 0.903 0.000  1.21

Values from the calculation:
- crystal system = tetragonal
- total moment (μB/f.u.) = 3.00
- DOS(E_F) (states/eV/atom) = 0.0181

<2>
Density functional theory data (PBE) for a relaxed structure of Ba2Ir2F.

abc: 6.037 6.037 5.739
angles: 58.27 58.27 90.00
Last column: magnetic moment on the atom in μB.
Fractional coordinates of all 5 atoms:
F 0.000 0.000 0.000  0.01
Ba 0.250 0.750 0.500  -0.01
Ba 0.750 0.250 0.500  -0.01
Ir 0.657 0.657 0.687  0.52
Ir 0.343 0.343 0.313  0.52

Values from the calculation:
- crystal system = tetragonal
- total moment (μB/f.u.) = 1.01
- DOS(E_F) (states/eV/atom) = 0.9164

Stability, lowest: <1>

<1>
Density functional theory data (PBE) for a relaxed structure of BaIrF3.

abc: 4.471 4.471 4.471
angles: 90.00 90.00 90.00
Fractional coordinates of all 5 atoms:
F 0.500 0.000 0.000
F 0.000 0.000 0.500
F 0.000 0.500 0.000
Ba 0.500 0.500 0.500
Ir 0.000 0.000 0.000

Values from the calculation:
- crystal system = cubic
- total moment (μB/f.u.) = 0.00
- DOS(E_F) (states/eV/atom) = 0.3662

<2>
Density functional theory data (PBE) for a relaxed structure of BaIrF3.

abc: 5.059 5.059 5.059
angles: 90.00 90.00 90.00
Last column: magnetic moment on the atom in μB.
Fractional coordinates of all 5 atoms:
F 0.000 0.000 0.500  0.00
F 0.500 0.000 0.000  0.00
F 0.000 0.500 0.000  0.01
Ba 0.000 0.000 0.000  0.00
Ir 0.500 0.500 0.500  2.16

Values from the calculation:
- crystal system = cubic
- total moment (μB/f.u.) = 2.45
- DOS(E_F) (states/eV/atom) = 4.2322

Stability, lowest: <2>

<1>
Density functional theory data (PBE) for a relaxed structure of BaIrNF2.

abc: 4.753 4.753 3.740
angles: 90.00 90.00 90.00
Fractional coordinates of all 5 atoms:
F 0.500 0.000 0.000
F 0.000 0.500 0.000
Ba 0.500 0.500 0.500
N 0.000 0.000 0.500
Ir 0.000 0.000 0.000

Values from the calculation:
- crystal system = tetragonal
- total moment (μB/f.u.) = 0.00
- DOS(E_F) (states/eV/atom) = 0.1591

<2>
Density functional theory data (PBE) for a relaxed structure of BaIrNF2.

abc: 4.953 4.953 5.706
angles: 90.00 90.00 90.00
Last column: magnetic moment on the atom in μB.
Fractional coordinates of all 5 atoms:
Ba 0.000 0.000 0.000  -0.03
F 0.500 0.000 0.000  0.03
F 0.000 0.500 0.000  0.03
N 0.000 0.000 0.500  -1.53
Ir 0.500 0.500 0.500  2.41

Values from the calculation:
- crystal system = tetragonal
- total moment (μB/f.u.) = 0.60
- DOS(E_F) (states/eV/atom) = 2.0391

Stability, lowest: <2>

<1>
Density functional theory data (PBE) for a relaxed structure of K3BaF.

abc: 8.252 8.252 8.252
angles: 90.00 90.00 90.00
Last column: magnetic moment on the atom in μB.
Fractional coordinates of all 5 atoms:
Ba 0.000 0.000 0.000  -0.27
K 0.500 0.000 0.000  -0.04
K 0.000 0.500 0.000  -0.03
K 0.000 0.000 0.500  -0.02
F 0.500 0.500 0.500  -0.03

Values from the calculation:
- crystal system = cubic
- total moment (μB/f.u.) = 2.00
- DOS(E_F) (states/eV/atom) = 0.8772

<2>
Density functional theory data (PBE) for a relaxed structure of K3BaF.

abc: 6.139 6.139 6.139
angles: 90.00 90.00 90.00
Last column: magnetic moment on the atom in μB.
Fractional coordinates of all 5 atoms:
K 0.500 0.000 0.000  0.02
K 0.000 0.000 0.500  0.03
K 0.000 0.500 0.000  0.03
F 0.000 0.000 0.000  0.02
Ba 0.500 0.500 0.500  0.24

Values from the calculation:
- crystal system = cubic
- total moment (μB/f.u.) = 1.80
- DOS(E_F) (states/eV/atom) = 0.7456

Stability, lowest: <1>

<1>
Density functional theory data (PBE) for a relaxed structure of KBa3F.

abc: 6.172 6.172 6.172
angles: 90.00 90.00 90.00
Fractional coordinates of all 5 atoms:
K 0.500 0.500 0.500
Ba 0.000 0.500 0.000
Ba 0.500 0.000 0.000
Ba 0.000 0.000 0.500
F 0.000 0.000 0.000

Values from the calculation:
- crystal system = cubic
- total moment (μB/f.u.) = 0.00
- DOS(E_F) (states/eV/atom) = 1.4783

<2>
Density functional theory data (PBE) for a relaxed structure of KBa3F.

abc: 7.271 7.271 7.271
angles: 90.00 90.00 90.00
Last column: magnetic moment on the atom in μB.
Fractional coordinates of all 5 atoms:
K 0.000 0.000 0.000  0.06
F 0.500 0.500 0.500  0.00
Ba 0.000 0.500 0.000  0.18
Ba 0.000 0.000 0.500  0.17
Ba 0.500 0.000 0.000  0.15

Values from the calculation:
- crystal system = cubic
- total moment (μB/f.u.) = 2.02
- DOS(E_F) (states/eV/atom) = 1.7295

Stability, lowest: <2>